[1]
Density functional theory data (PBE-GGA) for an optimized crystal structure of TbHo2TmSb4.

Output
Crystal system ... monoclinic
Energy relative to the elements, uncorrected ... -1.11 eV/atom

Lattice parameters (Å, degrees): 7.565 4.371 7.565 90.00 109.47 90.00
Fractional positions:
Tb: 0.000 0.000 0.000
Ho: 0.500 0.000 0.500
Ho: 0.500 0.500 0.000
Tm: 0.000 0.500 0.500
Sb: 0.249 0.000 0.748
Sb: 0.251 0.500 0.252
Sb: 0.749 0.500 0.748
Sb: 0.751 0.000 0.252

---

[2]
Density functional theory data (PBE-GGA) for an optimized crystal structure of YTlSe2Br.

Output
Crystal system ... tetragonal
Energy relative to the elements, uncorrected ... -1.02 eV/atom
Relative energy among the computed polymorphs ... 0.000 eV per formula unit

Lattice parameters (Å, degrees): 5.503 5.503 5.707 90.00 90.00 90.00
Fractional positions:
Y: 0.000 0.000 0.000
Tl: 0.500 0.500 0.500
Se: 0.000 0.500 0.000
Se: 0.500 0.000 0.000
Br: 0.000 0.000 0.500

---

[3]
Density functional theory data (PBE-GGA) for an optimized crystal structure of LiCa2Zn2.

Output
ΔE_f ... 0.010 eV/atom
Crystal system ... tetragonal
Relative energy among the computed polymorphs ... 0.984 eV per formula unit

Lattice parameters (Å, degrees): 3.822 3.822 18.622 90.00 90.00 90.00
Fractional positions:
Li: 0.000 0.000 0.000
Li: 0.500 0.500 0.500
Ca: 0.000 0.000 0.388
Ca: 0.000 0.000 0.612
Ca: 0.500 0.500 0.112
Ca: 0.500 0.500 0.888
Zn: 0.000 0.500 0.250
Zn: 0.000 0.500 0.750
Zn: 0.500 0.000 0.250
Zn: 0.500 0.000 0.750

---

[4]
Density functional theory data (PBE-GGA) for an optimized crystal structure of Ac2SmCd5.

Output
ΔE_f ... -0.272 eV/atom
Crystal system ... tetragonal

Lattice parameters (Å, degrees): 5.393 5.393 15.891 90.00 90.00 90.00
Fractional positions:
Ac: 0.000 0.000 0.236
Ac: 0.000 0.000 0.764
Ac: 0.500 0.500 0.264
Ac: 0.500 0.500 0.736
Sm: 0.000 0.000 0.500
Sm: 0.500 0.500 0.000
Cd: 0.000 0.000 0.000
Cd: 0.000 0.500 0.108
Cd: 0.000 0.500 0.392
Cd: 0.000 0.500 0.608
Cd: 0.000 0.500 0.892
Cd: 0.500 0.000 0.108
Cd: 0.500 0.000 0.392
Cd: 0.500 0.000 0.608
Cd: 0.500 0.000 0.892
Cd: 0.500 0.500 0.500

---

Taking the records one at a time from the top gives DFT total energy values of -0.2004; -0.1657; -0.0619; -0.0905 hartree per atom.